Entry 1:
## PrAg2Pd (PBE)

Data for a relaxed PrAg2Pd crystal.

Calculated values
- Formation energy: -257 meV per atom

Cell lengths 4.7033, 4.7033, 5.3904 Å; angles 64.13, 64.13, 60.00 degrees
Last column: nearest neighbours and their distance in Å.
Fractional positions:
Ag1 0.2196 0.2196 0.3411  3 Pd 2.81, 4 Pr 3.07-3.15, 3 Ag 3.09
Ag2 0.7804 0.7804 0.6589  3 Pd 2.81, 4 Pr 3.07-3.15, 3 Ag 3.09
Pd1 0.5000 0.5000 0.5000  6 Ag 2.81
Pr1 0.0000 0.0000 0.0000  8 Ag 3.07-3.15


Entry 2:
## PrAgPd2 (PBE)

Data for a relaxed PrAgPd2 crystal.

Calculated values
- Formation energy: -529 meV per atom

Cell lengths 4.0004, 4.4454, 4.4454 Å; angles 90.00, 90.00, 90.00 degrees
Last column: nearest neighbours and their distance in Å.
Fractional positions:
Pd1 0.0000 0.0000 0.5000  4 Pr 2.99, 4 Ag 2.99, 4 Pd 3.14
Pd2 0.0000 0.5000 0.0000  4 Pr 2.99, 4 Ag 2.99, 4 Pd 3.14
Pr1 0.5000 0.5000 0.5000  8 Pd 2.99, 4 Ag 3.14
Ag1 0.5000 0.0000 0.0000  8 Pd 2.99, 4 Pr 3.14


Entry 3:
## PrAgPdPt (PBE)

Data for a relaxed PrAgPdPt crystal.

Calculated values
- Formation energy: -548 meV per atom

Cell lengths 4.8702, 4.8702, 4.8702 Å; angles 60.00, 60.00, 60.00 degrees
Last column: nearest neighbours and their distance in Å.
Fractional positions:
Pd1 0.2500 0.2500 0.2500  4 Ag 2.98, 4 Pr 2.98
Pr1 0.5000 0.5000 0.5000  4 Pd 2.98, 4 Pt 2.98
Pt1 0.7500 0.7500 0.7500  4 Pr 2.98, 4 Ag 2.98
Ag1 0.0000 0.0000 0.0000  4 Pt 2.98, 4 Pd 2.98


Entry 4:
## Pr2AgPd5Pt2 (PBE)

Data for a relaxed Pr2AgPd5Pt2 crystal.

Calculated values
- Formation energy: -594 meV per atom

Cell lengths 4.2180, 9.6141, 9.6141 Å; angles 90.00, 90.00, 90.00 degrees
Last column: nearest neighbours and their distance in Å.
Fractional positions:
Pd1 0.5000 0.2993 0.5671  2 Pt 2.76, 3 Pd 2.88-2.95, 2 Ag 2.93
Pd2 0.5000 0.7993 0.9329  2 Pt 2.76, 3 Pd 2.88-2.95, 2 Ag 2.93
Pd3 0.5000 0.0671 0.7993  2 Pt 2.76, 3 Pd 2.88-2.95, 2 Ag 2.93
Pd4 0.5000 0.0000 0.5000  4 Pt 2.70, 4 Pd 2.95
Pd5 0.5000 0.4329 0.2993  2 Pt 2.76, 3 Pd 2.88-2.95, 2 Ag 2.93
Pd6 0.5000 0.5671 0.7007  2 Pt 2.76, 3 Pd 2.88-2.95, 2 Ag 2.93
Pd7 0.5000 0.9329 0.2007  2 Pt 2.76, 3 Pd 2.88-2.95, 2 Ag 2.93
Pd8 0.5000 0.2007 0.0671  2 Pt 2.76, 3 Pd 2.88-2.95, 2 Ag 2.93
Pd9 0.5000 0.5000 0.0000  4 Pt 2.70, 4 Pd 2.95
Pd10 0.5000 0.7007 0.4329  2 Pt 2.76, 3 Pd 2.88-2.95, 2 Ag 2.93
Pt1 0.0000 0.1235 0.6235  6 Pd 2.70-2.76, 3 Pr 2.77-2.89
Pt2 0.0000 0.6235 0.8765  6 Pd 2.70-2.76, 3 Pr 2.77-2.89
Pt3 0.0000 0.3765 0.1235  6 Pd 2.70-2.76, 3 Pr 2.77-2.89
Pt4 0.0000 0.8765 0.3765  6 Pd 2.70-2.76, 3 Pr 2.77-2.89
Pr1 0.0000 0.1730 0.3270  3 Pt 2.77-2.89
Pr2 0.0000 0.8270 0.6730  3 Pt 2.77-2.89
Pr3 0.0000 0.6730 0.1730  3 Pt 2.77-2.89
Pr4 0.0000 0.3270 0.8270  3 Pt 2.77-2.89
Ag1 0.0000 0.5000 0.5000  8 Pd 2.93
Ag2 0.0000 0.0000 0.0000  8 Pd 2.93


Entry 5:
## PrPuAgPd (PBE)

Data for a relaxed PrPuAgPd crystal.

Calculated values
- Formation energy: -272 meV per atom

Cell lengths 5.1750, 5.1750, 5.1750 Å; angles 60.00, 60.00, 60.00 degrees
Last column: nearest neighbours and their distance in Å.
Fractional positions:
Pr1 0.0000 0.0000 0.0000  4 Pd 3.17, 4 Ag 3.17
Pu1 0.5000 0.5000 0.5000  4 Pd 3.17, 4 Ag 3.17
Pd1 0.7500 0.7500 0.7500  4 Pr 3.17, 4 Pu 3.17
Ag1 0.2500 0.2500 0.2500  4 Pr 3.17, 4 Pu 3.17


Entry 6:
## PrAgPdRh (PBE)

Data for a relaxed PrAgPdRh crystal.

Calculated values
- Formation energy: -369 meV per atom

Cell lengths 4.8010, 4.8010, 4.8010 Å; angles 60.00, 60.00, 60.00 degrees
Last column: nearest neighbours and their distance in Å.
Fractional positions:
Rh1 0.5000 0.5000 0.5000  4 Pr 2.94, 4 Ag 2.94
Ag1 0.2500 0.2500 0.2500  4 Rh 2.94, 4 Pd 2.94
Pr1 0.7500 0.7500 0.7500  4 Rh 2.94, 4 Pd 2.94
Pd1 0.0000 0.0000 0.0000  4 Ag 2.94, 4 Pr 2.94


Entry 7:
## PrAgSbPd (PBE)

Data for a relaxed PrAgSbPd crystal.

Calculated values
- ΔE_f (raw): -562 meV/atom

Cell lengths 5.0203, 5.0203, 5.0203 Å; angles 60.00, 60.00, 60.00 degrees
Last column: nearest neighbours and their distance in Å.
Fractional positions:
Ag1 0.2500 0.2500 0.2500  4 Sb 3.07, 4 Pr 3.07
Sb1 0.5000 0.5000 0.5000  4 Ag 3.07, 4 Pd 3.07
Pd1 0.7500 0.7500 0.7500  4 Pr 3.07, 4 Sb 3.07
Pr1 0.0000 0.0000 0.0000  4 Pd 3.07, 4 Ag 3.07


Entry 8:
## Pr2Si3AgPd12 (PBE)

Data for a relaxed Pr2Si3AgPd12 crystal.

Calculated values
- ΔE_f (raw): -364 meV/atom

Cell lengths 6.9072, 6.9072, 6.9072 Å; angles 83.61, 83.61, 83.61 degrees
Last column: nearest neighbours and their distance in Å.
Fractional positions:
Si1 0.5000 0.0000 0.0000  2 Pd 2.33
Si2 0.0000 0.5000 0.0000  2 Pd 2.33
Si3 0.0000 0.0000 0.5000  2 Pd 2.33
Pd1 0.3648 0.3648 0.9167  2 Si 2.61, 1 Pd 2.74
Pd2 0.0833 0.6352 0.6352  2 Si 2.61, 1 Pd 2.74
Pd3 0.8227 0.3265 0.8227  1 Si 2.33
Pd4 0.6352 0.6352 0.0833  2 Si 2.61, 1 Pd 2.74
Pd5 0.6735 0.1773 0.1773  1 Si 2.33
Pd6 0.9167 0.3648 0.3648  2 Si 2.61, 1 Pd 2.74
Pd7 0.6352 0.0833 0.6352  2 Si 2.61, 1 Pd 2.74
Pd8 0.8227 0.8227 0.3265  1 Si 2.33
Pd9 0.1773 0.1773 0.6735  1 Si 2.33
Pd10 0.1773 0.6735 0.1773  1 Si 2.33
Pd11 0.3265 0.8227 0.8227  1 Si 2.33
Pd12 0.3648 0.9167 0.3648  2 Si 2.61, 1 Pd 2.74
Pr1 0.6309 0.6309 0.6309  3 Pd 2.66
Pr2 0.3691 0.3691 0.3691  3 Pd 2.66
Ag1 0.0000 0.0000 0.0000  6 Pd 2.68


The following calculated total energy values (in eV/atom) correspond, in order, to the records above: -4.176, -5.034, -5.264, -5.639, -7.061, -5.413, -4.798, -5.420.